Here is Na4Al3Si3IO12 after structural relaxation from Alexandria via LeMat-Bulk. Energies are from PBE.

Structure (extended XYZ):
```
46
Lattice="9.0984 0.0000 0.0000 0.0000 9.0984 0.0000 0.0000 0.0000 9.0984" Properties=species:S:1:pos:R:3 pbc="T T T"
Na 1.7992 1.7992 1.7992
Na 1.7992 7.2992 7.2992
Na 2.7500 2.7500 6.3483
Na 2.7500 6.3483 2.7500
Na 6.3483 2.7500 2.7500
Na 6.3483 6.3483 6.3483
Na 7.2992 1.7992 7.2992
Na 7.2992 7.2992 1.7992
Al 0.0000 2.2746 4.5492
Al 0.0000 6.8238 4.5492
Al 2.2746 4.5492 0.0000
Al 4.5492 0.0000 2.2746
Al 4.5492 0.0000 6.8238
Al 6.8238 4.5492 0.0000
Si 0.0000 4.5492 2.2746
Si 0.0000 4.5492 6.8238
Si 2.2746 0.0000 4.5492
Si 4.5492 2.2746 0.0000
Si 4.5492 6.8238 0.0000
Si 6.8238 0.0000 4.5492
I 0.0000 0.0000 0.0000
I 4.5492 4.5492 4.5492
O 0.4702 3.2590 5.9283
O 0.4702 5.8394 3.1701
O 1.2902 4.0790 1.3791
O 1.2902 5.0194 7.7193
O 1.3791 1.2902 4.0790
O 1.3791 7.8082 5.0194
O 3.1701 0.4702 5.8394
O 3.1701 8.6282 3.2590
O 3.2590 3.1701 8.6282
O 3.2590 5.9283 0.4702
O 4.0790 1.3791 1.2902
O 4.0790 7.7193 7.8082
O 5.0194 1.3791 7.8082
O 5.0194 7.7193 1.2902
O 5.8394 3.1701 0.4702
O 5.8394 5.9283 8.6282
O 5.9283 0.4702 3.2590
O 5.9283 8.6282 5.8394
O 7.7193 1.2902 5.0194
O 7.7193 7.8082 4.0790
O 7.8082 4.0790 7.7193
O 7.8082 5.0194 1.3791
O 8.6282 3.2590 3.1701
O 8.6282 5.8394 5.9283
```

Raw formation energy ... -60.95 eV per formula unit
SG ... No. 218
DOS(E_F) ... 0.00 states/eV per atom